1.
The following is a PBE-GGA calculation of a geometry-optimized SrZrCl2 structure, from Alexandria via LeMat-Bulk.

The space group is P4mm (No. 99) and the conventional cell measures 3.692, 3.692 and 7.247 Å, with angles of 90.00, 90.00 and 90.00 degrees. The asymmetric unit holds Sr at (0.000, 0.000, 0.000), Zr at (0.500, 0.500, 0.372), Cl at (0.000, 0.000, 0.472) and Cl at (0.500, 0.500, 0.765).

The formation energy from raw total energies comes out at -1.125 eV per atom. The calculated volume is 24.7 A^3/atom. The energy above the lowest structure with this stoichiometry comes out at 0.0 kJ/mol of atoms.



2.
The following is a PBE-GGA calculation of a geometry-optimized Y3TaV structure, from Alexandria via LeMat-Bulk.

The space group is Pm-3m (No. 221) and the conventional cell measures 5.166, 5.166 and 5.166 Å, with angles of 90.00, 90.00 and 90.00 degrees. The asymmetric unit holds Y at (0.000, 0.000, 0.500), Ta at (0.500, 0.500, 0.500) and V at (0.000, 0.000, 0.000).

Its energy of formation is 1.103 eV/atom. The calculated volume is 27.6 A^3/atom. The energy above the lowest structure with this stoichiometry comes out at 2.1 kJ/mol of atoms.



3.
The following is a PBE-GGA calculation of a geometry-optimized Pm7Y12Tm structure, from Alexandria via LeMat-Bulk.

The space group is R-3 (No. 148, hexagonal axes) and the conventional cell measures 12.0322, 12.0322 and 16.3458 Å, with angles of 90.00, 90.00 and 120.00 degrees. The asymmetric unit holds Pm at (0.0000, 0.0000, 0.0000), Pm at (0.0566, 0.1879, 0.2904), Y at (0.0272, 0.4508, 0.2212), Y at (0.0536, 0.5855, 0.5830) and Tm at (0.0000, 0.0000, 0.5000).

Its energy of formation is 0.234 eV/atom. The calculated volume is 34.2 A^3/atom. The energy above the lowest structure with this stoichiometry comes out at 0.0 kJ/mol of atoms.